# PBE Cd12In7Ag, optimized geometry
# Crystal system: trigonal
# Total DFT energy (no corrections) in eV/atom: -1.586
# Formation energy in kJ per mole of atoms: 6
# Mass density in g/cm³: 7.5
data_Cd12In7Ag
_symmetry_space_group_name_H-M 'R -3'
_symmetry_Int_Tables_number 148
_symmetry_space_group_name_Hall '-R 3'
_cell_length_a 11.4785
_cell_length_b 11.4785
_cell_length_c 13.1710
_cell_angle_alpha 90.00
_cell_angle_beta 90.00
_cell_angle_gamma 120.00
loop_
_atom_site_label
_atom_site_fract_x
_atom_site_fract_y
_atom_site_fract_z
_atom_site_occupancy
Cd1 0.0392 0.4666 0.2020 1
Cd2 0.0563 0.5963 0.5877 1
In1 0.0000 0.0000 0.0000 1
In2 0.0436 0.1827 0.2995 1
Ag1 0.0000 0.0000 0.5000 1